No. 1
LaPdN | PBE | optimized geometry

Cell and atoms, written as POSCAR:
```
LaPdN
1.0
-1.6888 -3.8065 0.3633
4.0835 -4.1645 -0.6036
-0.1118 -1.7104 5.6075
N Pd La
2 2 2
Direct
0.3012 0.1988 0.1988
0.6988 0.8012 0.8012
0.7726 0.2274 0.2274
0.2274 0.7726 0.7726
0.5000 0.2234 0.7766
0.5000 0.7766 0.2234
```

Output
space group: Immm
total magnetic moment: 0.0 μB per cell
density of states at the Fermi level: 1.4 states/eV/f.u.

***

No. 2
La6Pd2N | PBE | optimized geometry

Cell and atoms, written as POSCAR:
```
La6Pd2N
1.0
-4.8908 0.8389 4.5302
4.5888 -2.3051 5.3810
3.1931 9.7429 1.4506
N Pd La
2 4 12
Direct
0.0000 0.0000 0.5000
0.5000 0.5000 0.0000
0.5621 0.8941 0.2428
0.9379 0.3941 0.2572
0.0621 0.6059 0.7428
0.4379 0.1059 0.7572
0.3190 0.8331 0.5602
0.3327 0.8030 0.9419
0.6810 0.1669 0.4398
0.6673 0.1970 0.0581
0.3706 0.5333 0.2338
0.1673 0.3030 0.5581
0.8190 0.6669 0.0602
0.8706 0.9667 0.7338
0.8327 0.6970 0.4419
0.1294 0.0333 0.2662
0.1810 0.3331 0.9398
0.6294 0.4667 0.7662
```

Output
space group: P2_1/c
total magnetic moment: 0.0 μB per cell
density of states at the Fermi level: 9.6 states/eV/f.u.

***

No. 3
LaPd2N | PBE | optimized geometry

Cell and atoms, written as POSCAR:
```
LaPd2N
1.0
4.9905 0.0000 0.0000
0.0000 4.9905 0.0000
2.4953 2.4953 6.4680
N Pd La
2 4 2
Direct
0.2500 0.7500 0.5000
0.5000 0.5000 0.0000
0.8750 0.7192 0.7500
0.2808 0.6250 0.2500
0.4692 0.1250 0.2500
0.3750 0.5308 0.7500
0.0000 0.0000 0.0000
0.7500 0.2500 0.5000
```

Output
space group: I-42d
total magnetic moment: 0.0 μB per cell
density of states at the Fermi level: 0.0 states/eV/f.u.

***

No. 4
La6Pd2PtN | PBE | optimized geometry

Cell and atoms, written as POSCAR:
```
La6Pd2PtN
1.0
6.8532 0.0000 -0.0838
0.0000 7.6346 0.0000
-0.0595 0.0000 10.5676
Pd La Pt N
4 12 2 2
Direct
0.9444 0.1037 0.7614
0.4444 0.3963 0.2614
0.0556 0.8963 0.2386
0.5556 0.6037 0.7386
0.6389 0.0430 0.2663
0.8611 0.5430 0.2337
0.6901 0.3346 0.9338
0.1389 0.4570 0.7663
0.3099 0.6654 0.0662
0.8451 0.7978 0.9369
0.3611 0.9570 0.7337
0.1901 0.1654 0.4338
0.6549 0.2978 0.5631
0.1549 0.2022 0.0631
0.3451 0.7022 0.4369
0.8099 0.8346 0.5662
0.5000 0.0000 0.0000
0.0000 0.5000 0.5000
0.5000 0.0000 0.5000
0.0000 0.5000 0.0000
```

Output
space group: P2_1/c
total magnetic moment: 0.0 μB per cell
density of states at the Fermi level: 10.8 states/eV/f.u.

***

No. 5
LaPu2PdN4 | PBE | optimized geometry

Cell and atoms, written as POSCAR:
```
LaPu2PdN4
1.0
3.5451 0.0000 0.0000
-1.7726 5.7065 0.0000
0.0000 0.0000 11.9077
La N Pd Pu
2 8 2 4
Direct
0.9031 0.8062 0.2500
0.0969 0.1938 0.7500
0.7383 0.4766 0.5933
0.2617 0.5234 0.0933
0.2617 0.5234 0.4067
0.5486 0.0973 0.2500
0.0000 0.0000 0.0000
0.4514 0.9027 0.7500
0.0000 0.0000 0.5000
0.7383 0.4766 0.9067
0.1754 0.3508 0.2500
0.8246 0.6492 0.7500
0.6301 0.2602 0.0568
0.3699 0.7398 0.9432
0.3699 0.7398 0.5568
0.6301 0.2602 0.4432
```

Output
space group: Cmcm
total magnetic moment: 14.0 μB per cell
density of states at the Fermi level: 13.2 states/eV/f.u.

***

No. 6
LaRePdN2 | PBE | optimized geometry

Cell and atoms, written as POSCAR:
```
LaRePdN2
1.0
4.0522 0.0000 0.0000
0.0000 5.9474 0.0000
0.0000 0.0000 4.0522
La N Pd Re
1 2 1 1
Direct
0.0000 0.5000 0.0000
0.5000 0.0000 0.0000
0.0000 0.0000 0.5000
0.0000 0.0000 0.0000
0.5000 0.5000 0.5000
```

Output
space group: P4/mmm
total magnetic moment: 5.5 μB per cell
density of states at the Fermi level: 4.0 states/eV/f.u.

***

No. 7
La2PdRhN | PBE | optimized geometry

Cell and atoms, written as POSCAR:
```
La2PdRhN
1.0
5.1799 0.0000 0.0000
0.0000 5.1799 0.0000
0.0000 0.0000 3.9200
La Rh Pd N
2 1 1 1
Direct
0.0000 0.5000 0.0000
0.5000 0.0000 0.0000
0.0000 0.0000 0.5000
0.5000 0.5000 0.5000
0.0000 0.0000 0.0000
```

Output
space group: P4/mmm
total magnetic moment: 0.0 μB per cell
density of states at the Fermi level: 3.8 states/eV/f.u.

***

No. 8
La6Pd2RuN | PBE | optimized geometry

Cell and atoms, written as POSCAR:
```
La6Pd2RuN
1.0
-3.1255 0.9677 6.0281
-6.7097 0.4730 -3.5549
-1.2342 -10.2807 0.9616
La Pd Ru N
12 4 2 2
Direct
0.6908 0.3269 0.9397
0.8365 0.8068 0.9378
0.1247 0.4637 0.7601
0.3365 0.6932 0.4378
0.1635 0.1932 0.0622
0.8753 0.5363 0.2399
0.3092 0.6731 0.0603
0.8092 0.8269 0.5603
0.3753 0.9637 0.7399
0.1908 0.1731 0.4397
0.6635 0.3068 0.5622
0.6247 0.0363 0.2601
0.0492 0.8977 0.2472
0.9508 0.1023 0.7528
0.5492 0.6023 0.7472
0.4508 0.3977 0.2528
0.0000 0.5000 0.5000
0.5000 0.0000 0.0000
0.5000 0.0000 0.5000
0.0000 0.5000 0.0000
```

Output
space group: P2_1/c
total magnetic moment: 0.0 μB per cell
density of states at the Fermi level: 8.3 states/eV/f.u.

***

No. 9
LaPdSN2 | PBE | optimized geometry

Cell and atoms, written as POSCAR:
```
LaPdSN2
1.0
-0.0346 3.9412 -1.2326
-3.9352 0.3422 1.2046
1.4280 1.3514 4.2810
N La Pd S
2 1 1 1
Direct
0.5000 0.0000 0.0000
0.0000 0.5000 0.0000
0.5000 0.5000 0.5000
0.0000 0.0000 0.0000
0.0000 0.0000 0.5000
```

Output
space group: P4/mmm
total magnetic moment: 2.0 μB per cell
density of states at the Fermi level: 2.6 states/eV/f.u.
E above lowest polymorph: 0.0 kJ per mole of atoms

***

No. 10
LaPdSN2 | PBE | optimized geometry

Cell and atoms, written as POSCAR:
```
LaPdSN2
1.0
4.0570 0.0000 0.0000
0.0000 4.0570 0.0000
0.0000 0.0000 6.0982
N S La Pd
2 1 1 1
Direct
0.5000 0.0000 0.0000
0.0000 0.5000 0.0000
0.0000 0.0000 0.5000
0.0000 0.0000 0.0000
0.5000 0.5000 0.5000
```

Output
space group: P4/mmm
total magnetic moment: 0.0 μB per cell
density of states at the Fermi level: 5.7 states/eV/f.u.
E above lowest polymorph: 88.0 kJ per mole of atoms

***

No. 11
La2ScPdN | PBE | optimized geometry

Cell and atoms, written as POSCAR:
```
La2ScPdN
1.0
-0.2546 -0.3113 -5.1911
-3.2095 -4.0800 0.4021
-3.3207 2.6128 0.0062
Pd La N Sc
1 2 1 1
Direct
0.5000 0.5000 0.5000
0.5000 0.0000 0.0000
0.0000 0.5000 0.0000
0.0000 0.0000 0.0000
0.0000 0.0000 0.5000
```

Output
space group: P4/mmm
total magnetic moment: 0.0 μB per cell
density of states at the Fermi level: 4.4 states/eV/f.u.

***

No. 12
LaSc2PdN | PBE | optimized geometry

Cell and atoms, written as POSCAR:
```
LaSc2PdN
1.0
-4.3498 0.0474 0.1080
-0.1165 -1.1125 -4.2052
-0.0219 -5.0524 1.3373
Sc N La Pd
2 1 1 1
Direct
0.0000 0.5000 0.0000
0.5000 0.0000 0.0000
0.0000 0.0000 0.0000
0.0000 0.0000 0.5000
0.5000 0.5000 0.5000
```

Output
space group: P4/mmm
total magnetic moment: 0.0 μB per cell
density of states at the Fermi level: 4.4 states/eV/f.u.

***

No. 13
LaPdSeN2 | PBE | optimized geometry

Cell and atoms, written as POSCAR:
```
LaPdSeN2
1.0
-1.9980 -2.5806 2.6450
3.6744 -1.0671 1.7344
-0.4592 3.6621 3.2261
N Se La Pd
2 1 1 1
Direct
0.0000 0.5000 0.0000
0.5000 0.0000 0.0000
0.0000 0.0000 0.5000
0.5000 0.5000 0.5000
0.0000 0.0000 0.0000
```

Output
space group: P4/mmm
total magnetic moment: 2.0 μB per cell
density of states at the Fermi level: 3.1 states/eV/f.u.
E above lowest polymorph: 0.0 kJ per mole of atoms

***

No. 14
LaPdSeN2 | PBE | optimized geometry

Cell and atoms, written as POSCAR:
```
LaPdSeN2
1.0
-4.0605 0.2112 0.1467
-0.0375 -2.7824 2.9682
0.4049 4.7116 4.4218
N Pd La Se
2 1 1 1
Direct
0.5000 0.0000 0.0000
0.0000 0.5000 0.0000
0.5000 0.5000 0.5000
0.0000 0.0000 0.0000
0.0000 0.0000 0.5000
```

Output
space group: P4/mmm
total magnetic moment: 0.0 μB per cell
density of states at the Fermi level: 6.5 states/eV/f.u.
E above lowest polymorph: 64.9 kJ per mole of atoms

***

No. 15
SrLaPd2N | PBE | optimized geometry

Cell and atoms, written as POSCAR:
```
SrLaPd2N
1.0
4.8779 0.0000 0.0000
0.0000 4.5718 0.0000
0.0000 0.0000 4.8779
La Sr Pd N
1 1 2 1
Direct
0.0000 0.5000 0.0000
0.5000 0.5000 0.5000
0.5000 0.0000 0.0000
0.0000 0.0000 0.5000
0.0000 0.0000 0.0000
```

Output
space group: P4/mmm
total magnetic moment: 0.0 μB per cell
density of states at the Fermi level: 3.1 states/eV/f.u.

***

No. 16
LaTe2PdN | PBE | optimized geometry

Cell and atoms, written as POSCAR:
```
LaTe2PdN
1.0
-3.3550 -3.9800 -1.7719
-1.0005 -1.4728 5.2025
-3.1014 2.5576 0.1276
Te N Pd La
2 1 1 1
Direct
0.5000 0.0000 0.0000
0.0000 0.5000 0.0000
0.0000 0.0000 0.5000
0.0000 0.0000 0.0000
0.5000 0.5000 0.5000
```

Output
space group: P4/mmm
total magnetic moment: 1.2 μB per cell
density of states at the Fermi level: 1.9 states/eV/f.u.
E above lowest polymorph: 0.0 kJ per mole of atoms

***

No. 17
LaTe2PdN | PBE | optimized geometry

Cell and atoms, written as POSCAR:
```
LaTe2PdN
1.0
6.3468 0.0000 0.0000
0.0000 6.3468 0.0000
0.0000 0.0000 3.9441
Te N Pd La
2 1 1 1
Direct
0.5000 0.0000 0.0000
0.0000 0.5000 0.0000
0.0000 0.0000 0.5000
0.5000 0.5000 0.5000
0.0000 0.0000 0.0000
```

Output
space group: P4/mmm
total magnetic moment: 0.0 μB per cell
density of states at the Fermi level: 2.9 states/eV/f.u.
E above lowest polymorph: 67.0 kJ per mole of atoms

***

No. 18
La2TiPdN | PBE | optimized geometry

Cell and atoms, written as POSCAR:
```
La2TiPdN
1.0
-0.9639 3.7758 -3.4996
-3.2054 -3.2262 -2.5981
-3.0662 1.2662 2.2107
La Pd Ti N
2 1 1 1
Direct
0.0000 0.5000 0.0000
0.5000 0.0000 0.0000
0.5000 0.5000 0.5000
0.0000 0.0000 0.5000
0.0000 0.0000 0.0000
```

Output
space group: P4/mmm
total magnetic moment: 1.0 μB per cell
density of states at the Fermi level: 4.4 states/eV/f.u.

***

No. 19
La2YPdN | PBE | optimized geometry

Cell and atoms, written as POSCAR:
```
La2YPdN
1.0
-3.2523 -2.7313 2.8445
3.5818 -0.5035 3.6118
-1.5026 3.9085 2.0350
Pd N La Y
1 1 2 1
Direct
0.5000 0.5000 0.5000
0.0000 0.0000 0.0000
0.0000 0.5000 0.0000
0.5000 0.0000 0.0000
0.0000 0.0000 0.5000
```

Output
space group: P4/mmm
total magnetic moment: 0.0 μB per cell
density of states at the Fermi level: 5.6 states/eV/f.u.

***

No. 20
La2ZrPdN | PBE | optimized geometry

Cell and atoms, written as POSCAR:
```
La2ZrPdN
1.0
-1.3030 4.6021 1.9697
-2.8677 0.9820 -4.1915
-3.4276 -1.7942 1.9247
N La Pd Zr
1 2 1 1
Direct
0.0000 0.0000 0.0000
0.5000 0.0000 0.0000
0.0000 0.5000 0.0000
0.5000 0.5000 0.5000
0.0000 0.0000 0.5000
```

Output
space group: P4/mmm
total magnetic moment: 0.3 μB per cell
density of states at the Fermi level: 4.9 states/eV/f.u.

***

No. 21
LaPm3N4 | PBE | optimized geometry

Cell and atoms, written as POSCAR:
```
LaPm3N4
1.0
6.3175 0.0557 0.0000
-2.1618 5.9412 0.0000
0.0000 0.0000 7.3016
N Pm La
8 6 2
Direct
0.9988 0.2556 0.1274
0.5031 0.2508 0.3786
0.4988 0.2556 0.8726
0.5012 0.7444 0.1274
0.4969 0.7492 0.6214
0.0012 0.7444 0.8726
0.9969 0.7492 0.3786
0.0031 0.2508 0.6214
0.7500 0.0000 0.3770
0.2500 0.0000 0.6230
0.2500 0.5000 0.3766
0.7500 0.5000 0.1264
0.2500 0.5000 0.8736
0.7500 0.5000 0.6234
0.2500 0.0000 0.1259
0.7500 0.0000 0.8741
```

Output
space group: P2/c
total magnetic moment: 0.0 μB per cell
density of states at the Fermi level: 1.2 states/eV/f.u.
E above lowest polymorph: 0.0 kJ per mole of atoms

***

No. 22
La5Pm2N5 | PBE | optimized geometry

Cell and atoms, written as POSCAR:
```
La5Pm2N5
1.0
-3.1496 -0.6483 1.6976
-0.7288 -1.9886 -6.0059
4.7025 -8.6521 5.4200
N Pm La
5 2 5
Direct
0.8721 0.7442 0.5708
0.0000 0.0000 0.0000
0.6696 0.3391 0.8431
0.1279 0.2558 0.4292
0.3304 0.6609 0.1569
0.0314 0.0629 0.7919
0.9686 0.9371 0.2081
0.6590 0.3179 0.0635
0.7369 0.4739 0.3593
0.2631 0.5261 0.6407
0.3410 0.6821 0.9365
0.5000 0.0000 0.5000
```

Output
space group: C2/m
total magnetic moment: 0.0 μB per cell
density of states at the Fermi level: 7.6 states/eV/f.u.

***

No. 23
La4PmN4 | PBE | optimized geometry

Cell and atoms, written as POSCAR:
```
La4PmN4
1.0
6.1080 0.0000 0.0000
0.0000 6.1080 0.0000
-3.0540 -3.0540 5.5719
N La Pm
4 4 1
Direct
0.1263 0.1263 0.7710
0.6448 0.6448 0.7710
0.3552 0.8737 0.2290
0.8737 0.3552 0.2290
0.7074 0.7074 0.4149
0.0000 0.5000 0.0000
0.2926 0.2926 0.5851
0.5000 0.0000 0.0000
0.0000 0.0000 0.0000
```

Output
space group: I-42m
total magnetic moment: 2.4 μB per cell
density of states at the Fermi level: 5.8 states/eV/f.u.
E above lowest polymorph: 45.5 kJ per mole of atoms

***

No. 24
LaPm4N4 | PBE | optimized geometry

Cell and atoms, written as POSCAR:
```
LaPm4N4
1.0
-3.3845 2.6207 -2.8046
-1.4014 -2.7364 -5.5449
-6.0344 -1.5866 1.1216
Pm N La
4 4 1
Direct
0.6102 0.5748 0.2058
0.3898 0.4252 0.7942
0.8157 0.7942 0.5748
0.1843 0.2058 0.4252
0.0966 0.6014 0.2045
0.3013 0.7955 0.6013
0.6987 0.2045 0.3987
0.9034 0.3986 0.7955
0.0000 0.0000 0.0000
```

Output
space group: I4/m
total magnetic moment: 0.0 μB per cell
density of states at the Fermi level: 4.0 states/eV/f.u.
E above lowest polymorph: 0.0 kJ per mole of atoms

***

no.,raw formation energy (kJ per mole of atoms),V (A^3/atom)
1,-53,20.90
2,-65,28.75
3,-12,20.14
4,-79,27.64
5,-91,15.06
6,187,19.53
7,-82,21.04
8,-63,27.13
9,13,16.07
10,101,20.07
11,-84,22.91
12,-94,19.79
13,27,17.30
14,92,21.43
15,-21,21.76
16,-18,24.32
17,49,31.78
18,-79,21.87
19,-75,24.33
20,-71,23.12
21,-135,17.18
22,-94,20.00
23,-73,23.10
24,-122,19.12